Crystalline BeRuBr2 at its relaxed geometry. Source: the Alexandria database, functional PBE.

```
BeRuBr2
1.0
1.607 -3.074 0.000
1.607 3.074 0.000
0.000 0.000 9.276
Be Ru Br
1 1 2
Direct
0.000 0.000 0.000 Be
0.500 0.500 0.201 Ru
0.000 0.000 0.404 Br
0.500 0.500 0.841 Br
```

Calculated values
DFT total energy in eV/cell: -15.21
Symmetry: Cmm2
Size of the total moment in μB/cell: 1.720
E_form (uncorrected) in kcal/mol of atoms: 6.5



Crystalline BiP3O at its relaxed geometry. Source: the Alexandria database, functional PBE.

```
BiP3O
1.0
5.346 0.000 0.000
0.000 5.346 0.000
0.000 0.000 5.346
Bi P O
1 3 1
Direct
0.000 0.000 0.000 Bi
0.000 0.000 0.500 P
0.000 0.500 0.000 P
0.500 0.000 0.000 P
0.500 0.500 0.500 O
```

Calculated values
DFT total energy in eV/cell: -15.42
Symmetry: Pm-3m
Size of the total moment in μB/cell: 4.195
E_form (uncorrected) in kcal/mol of atoms: 44.5



Which of these has the lowest size of the total moment? BeRuBr2



Please write out number 1 again, unchanged.
Crystalline BeRuBr2 at its relaxed geometry. Source: the Alexandria database, functional PBE.

```
BeRuBr2
1.0
1.607 -3.074 0.000
1.607 3.074 0.000
0.000 0.000 9.276
Be Ru Br
1 1 2
Direct
0.000 0.000 0.000 Be
0.500 0.500 0.201 Ru
0.000 0.000 0.404 Br
0.500 0.500 0.841 Br
```

Calculated values
DFT total energy in eV/cell: -15.21
Symmetry: Cmm2
Size of the total moment in μB/cell: 1.720
E_form (uncorrected) in kcal/mol of atoms: 6.5